The following is a DFT calculation (PBE-GGA) of a relaxed CaCu2Ni crystal.

Calculated values
D(E_F) = 2.15 states/eV/f.u.
crystal system = cubic
calculated volume = 252.8 Å³ per cell
energy relative to the elements = 13.3 kJ per mole of atoms
distance to the lowest polymorph of the same formula = 277 meV per atom

Unit cell a=6.3228 b=6.3228 c=6.3228 alpha=90.00 beta=90.00 gamma=90.00
With the nearest neighbours (Å) after each atom.
Space group Fm-3m (No. 225)
Symmetry-distinct sites (fractional):
Ca: 0.0000 0.0000 0.0000 [4 per cell]  8 Cu 2.74
Cu: 0.2500 0.2500 0.2500 [8 per cell]  4 Ni 2.74, 4 Ca 2.74
Ni: 0.0000 0.0000 0.5000 [4 per cell]  8 Cu 2.74


The following is a DFT calculation (PBE-GGA) of a relaxed GdYSe crystal.

Calculated values
D(E_F) = 3.29 states/eV/f.u.
crystal system = trigonal
calculated volume = 85.8 Å³ per cell
formation energy (no corrections) = -1.153 eV per atom
distance to the lowest polymorph of the same formula = 0 meV per atom

Unit cell a=3.8837 b=3.8837 c=6.5667 alpha=90.00 beta=90.00 gamma=120.00
With the nearest neighbours (Å) after each atom.
Space group P3m1 (No. 156)
Symmetry-distinct sites (fractional):
Gd: 0.0000 0.0000 0.0000 [1 per cell]  3 Se 2.92
Y: 0.3333 0.6667 0.5619 [1 per cell]  3 Se 2.89
Se: 0.6667 0.3333 0.2838 [1 per cell]  3 Y 2.89, 3 Gd 2.92


The following is a DFT calculation (PBE-GGA) of a relaxed TlSiTc2 crystal.

Calculated values
D(E_F) = 3.00 states/eV/f.u.
crystal system = monoclinic
calculated volume = 135.0 Å³ per cell
formation energy (no corrections) = 0.284 eV per atom
distance to the lowest polymorph of the same formula = 148 meV per atom

Unit cell a=8.0999 b=3.0009 c=5.6859 alpha=90.00 beta=102.31 gamma=90.00
With the nearest neighbours (Å) after each atom.
Space group C2/m (No. 12)
Symmetry-distinct sites (fractional):
Tl: 0.0000 0.0000 0.0000 [2 per cell]  6 Tc 2.85-2.89, 2 Tl 3.00
Si: 0.0000 0.5000 0.5000 [2 per cell]  6 Tc 2.49-2.60
Tc: 0.2352 0.0000 0.6912 [4 per cell]  3 Si 2.49-2.60, 2 Tc 2.69


The following is a DFT calculation (PBE-GGA) of a relaxed Tb4ThSc5 crystal.

Calculated values
D(E_F) = 17.05 states/eV/f.u.
crystal system = tetragonal
calculated volume = 580.9 Å³ per cell
energy relative to the elements = 29.8 kJ per mole of atoms

Unit cell a=9.7857 b=9.7857 c=6.0663 alpha=90.00 beta=90.00 gamma=90.00
With the nearest neighbours (Å) after each atom.
Space group I4 (No. 79)
Symmetry-distinct sites (fractional):
Tb: 0.0495 0.3429 0.0000 [8 per cell]  4 Sc 3.07-3.40, 1 Tb 3.22
Th: 0.0000 0.0000 0.2233 [2 per cell]  6 Sc 2.86-3.20
Sc: 0.0000 0.0000 0.7511 [2 per cell]  2 Th 2.86-3.20, 4 Sc 3.03
Sc: 0.1444 0.2272 0.5061 [8 per cell]  1 Sc 3.03, 3 Tb 3.07-3.33, 1 Th 3.14


The following is a DFT calculation (PBE-GGA) of a relaxed LaY2Sb crystal.

Calculated values
D(E_F) = 5.79 states/eV/f.u.
crystal system = orthorhombic
calculated volume = 507.5 Å³ per cell
formation energy (no corrections) = -0.601 eV per atom

Unit cell a=4.1850 b=12.5070 c=9.6967 alpha=90.00 beta=90.00 gamma=90.00
With the nearest neighbours (Å) after each atom.
Space group Cmcm (No. 63)
Symmetry-distinct sites (fractional):
La: 0.0000 0.0554 0.2500 [4 per cell]  3 Sb 3.35-3.64, 4 Y 3.67
Y: 0.0000 0.3608 0.0419 [8 per cell]  3 Sb 3.15-3.23
Sb: 0.0000 0.2357 0.7500 [4 per cell]  6 Y 3.15-3.23, 2 La 3.35


The following is a DFT calculation (PBE-GGA) of a relaxed Tb3Ni7Ge2 crystal.

Calculated values
D(E_F) = 9.32 states/eV/f.u.
crystal system = tetragonal
calculated volume = 385.5 Å³ per cell
energy relative to the elements = -37.6 kJ per mole of atoms
distance to the lowest polymorph of the same formula = 0 meV per atom

Unit cell a=3.8417 b=3.8417 c=26.1166 alpha=90.00 beta=90.00 gamma=90.00
With the nearest neighbours (Å) after each atom.
Space group I4/mmm (No. 139)
Symmetry-distinct sites (fractional):
Tb: 0.0000 0.0000 0.0000 [2 per cell]  12 Ni 2.72-2.76
Tb: 0.0000 0.0000 0.1751 [4 per cell]  5 Ni 2.74-2.96, 4 Ge 2.99
Ni: 0.0000 0.0000 0.2799 [4 per cell]  1 Ge 2.42
Ni: 0.0000 0.0000 0.5000 [2 per cell]  4 Tb 2.72, 8 Ni 2.76
Ni: 0.0000 0.5000 0.0759 [8 per cell]  2 Ge 2.35
Ge: 0.0000 0.0000 0.3725 [4 per cell]  5 Ni 2.35-2.42


The following is a DFT calculation (PBE-GGA) of a relaxed Li2SnHgI crystal.

Calculated values
D(E_F) = 3.75 states/eV/f.u.
crystal system = tetragonal
calculated volume = 186.8 Å³ per cell
formation energy (no corrections) = -0.047 eV per atom

Unit cell a=5.5520 b=5.5520 c=6.0612 alpha=90.00 beta=90.00 gamma=90.00
With the nearest neighbours (Å) after each atom.
Space group P4/mmm (No. 123)
Symmetry-distinct sites (fractional):
Li: 0.0000 0.5000 0.0000 [2 per cell]  2 Sn 2.78
Sn: 0.0000 0.0000 0.0000 [1 per cell]  4 Li 2.78, 2 I 3.03
Hg: 0.5000 0.5000 0.5000 [1 per cell]  4 I 3.93, 8 Li 4.11
I: 0.0000 0.0000 0.5000 [1 per cell]  2 Sn 3.03


The following is a DFT calculation (PBE-GGA) of a relaxed LaYMo2 crystal.

Calculated values
D(E_F) = 4.87 states/eV/f.u.
crystal system = orthorhombic
calculated volume = 90.2 Å³ per cell
energy relative to the elements = 52.6 kJ per mole of atoms
distance to the lowest polymorph of the same formula = 362 meV per atom

Unit cell a=3.3735 b=4.2984 c=6.2211 alpha=90.00 beta=90.00 gamma=90.00
With the nearest neighbours (Å) after each atom.
Space group Pmm2 (No. 25)
Symmetry-distinct sites (fractional):
La: 0.0000 0.0000 0.0000 [1 per cell]  1 Mo 2.51
Y: 0.5000 0.5000 0.6668 [1 per cell]  1 Mo 2.61
Mo: 0.0000 0.0000 0.4042 [1 per cell]  1 La 2.51
Mo: 0.5000 0.5000 0.2466 [1 per cell]  1 Y 2.61, 4 Mo 2.90


The following is a DFT calculation (PBE-GGA) of a relaxed BaGdHgSb crystal.

Calculated values
D(E_F) = 7.08 states/eV/f.u.
crystal system = cubic
calculated volume = 513.4 Å³ per cell
formation energy (no corrections) = -0.593 eV per atom

Unit cell a=8.0072 b=8.0072 c=8.0072 alpha=90.00 beta=90.00 gamma=90.00
With the nearest neighbours (Å) after each atom.
Space group F-43m (No. 216)
Symmetry-distinct sites (fractional):
Ba: 0.0000 0.0000 0.0000 [4 per cell]  4 Sb 3.47, 4 Hg 3.47
Gd: 0.0000 0.0000 0.5000 [4 per cell]  4 Hg 3.47, 4 Sb 3.47
Hg: 0.2500 0.2500 0.2500 [4 per cell]  4 Gd 3.47, 4 Ba 3.47
Sb: 0.2500 0.2500 0.7500 [4 per cell]  4 Gd 3.47, 4 Ba 3.47


The following is a DFT calculation (PBE-GGA) of a relaxed AlCd2GaAs crystal.

Calculated values
D(E_F) = 5.31 states/eV/f.u.
crystal system = tetragonal
calculated volume = 130.5 Å³ per cell
energy relative to the elements = 53.3 kJ per mole of atoms

Unit cell a=5.1537 b=5.1537 c=4.9139 alpha=90.00 beta=90.00 gamma=90.00
With the nearest neighbours (Å) after each atom.
Space group P4/mmm (No. 123)
Symmetry-distinct sites (fractional):
Al: 0.0000 0.0000 0.0000 [1 per cell]  2 Ga 2.46, 4 Cd 2.58
Cd: 0.0000 0.5000 0.0000 [2 per cell]  2 Al 2.58
Ga: 0.0000 0.0000 0.5000 [1 per cell]  2 Al 2.46
As: 0.5000 0.5000 0.5000 [1 per cell]  8 Cd 3.56, 4 Ga 3.64


The following is a DFT calculation (PBE-GGA) of a relaxed Mg3Si4 crystal.

Calculated values
D(E_F) = 1.76 states/eV/f.u.
crystal system = triclinic
calculated volume = 255.3 Å³ per cell
formation energy (no corrections) = 0.087 eV per atom
distance to the lowest polymorph of the same formula = 35 meV per atom

Unit cell a=5.2931 b=7.5105 c=7.6491 alpha=61.76 beta=72.61 gamma=79.33
With the nearest neighbours (Å) after each atom.
Space group P1 (No. 1)
Symmetry-distinct sites (fractional):
Mg: 0.0000 0.0000 0.0000 [1 per cell]  7 Si 2.76-2.98
Mg: 0.0436 0.7082 0.4695 [1 per cell]  6 Si 2.75-3.01
Mg: 0.2165 0.2104 0.4911 [1 per cell]  6 Si 2.70-3.02
Mg: 0.4072 0.7367 0.7069 [1 per cell]  8 Si 2.83-3.05, 1 Mg 3.11
Mg: 0.6453 0.5177 0.3723 [1 per cell]  5 Si 2.71-3.00, 1 Mg 2.95
Mg: 0.8704 0.5049 0.9759 [1 per cell]  8 Si 2.74-3.02, 1 Mg 2.95
Si: 0.2258 0.5753 0.1481 [1 per cell]  2 Si 2.42-2.50
Si: 0.2697 0.3545 0.7464 [1 per cell]  2 Si 2.39-2.61
Si: 0.4044 0.3006 0.0399 [1 per cell]  4 Si 2.39-2.50
Si: 0.4938 0.9528 0.2768 [1 per cell]  3 Si 2.43-2.50
Si: 0.5165 0.8501 0.0067 [1 per cell]  3 Si 2.40-2.49
Si: 0.7646 0.3587 0.7398 [1 per cell]  3 Si 2.42-2.68
Si: 0.7670 0.1209 0.3660 [1 per cell]  2 Si 2.43-2.50
Si: 0.8633 0.9174 0.7000 [1 per cell]  2 Si 2.40-2.43


Q: Number 8 is which compound?
A: LaYMo2


Q: Which of these has the lowest D(E_F)?
A: Mg3Si4


Copy entry 3 word for word.
The following is a DFT calculation (PBE-GGA) of a relaxed TlSiTc2 crystal.

Calculated values
D(E_F) = 3.00 states/eV/f.u.
crystal system = monoclinic
calculated volume = 135.0 Å³ per cell
formation energy (no corrections) = 0.284 eV per atom
distance to the lowest polymorph of the same formula = 148 meV per atom

Unit cell a=8.0999 b=3.0009 c=5.6859 alpha=90.00 beta=102.31 gamma=90.00
With the nearest neighbours (Å) after each atom.
Space group C2/m (No. 12)
Symmetry-distinct sites (fractional):
Tl: 0.0000 0.0000 0.0000 [2 per cell]  6 Tc 2.85-2.89, 2 Tl 3.00
Si: 0.0000 0.5000 0.5000 [2 per cell]  6 Tc 2.49-2.60
Tc: 0.2352 0.0000 0.6912 [4 per cell]  3 Si 2.49-2.60, 2 Tc 2.69